NbNiTe2I (SCAN, PBEsol geometry); energy relative to the elements, uncorrected = 0.63 eV per atom; energy = -157.4 eV/f.u.; V = 122.7 Å³/cell; DOS at the Fermi energy = 0.6511 states/eV per atom
1.0
4.9534 0.0000 0.0000
0.0000 4.9534 0.0000
0.0000 0.0000 4.9993
Nb Ni Te I
1 1 2 1
direct
0.0000 0.0000 0.0000 Nb
0.5000 0.5000 0.5000 Ni
0.0000 0.5000 0.5000 Te
0.5000 0.0000 0.5000 Te
0.5000 0.5000 0.0000 I

=====

NbI2O (SCAN, PBEsol geometry); energy relative to the elements, uncorrected = 0.48 eV per atom; energy = -110.9 eV/f.u.; V = 193.9 Å³/cell; DOS at the Fermi energy = 0.4579 states/eV per atom
1.0
-3.3256 3.3256 4.3833
3.3256 -3.3256 4.3833
3.3256 3.3256 -4.3833
Nb I O
2 4 2
direct
0.0000 0.0000 0.0000 Nb
0.7500 0.2500 0.5000 Nb
0.1447 0.6250 0.0197 I
0.3750 0.3947 0.5197 I
0.6053 0.1250 0.9803 I
0.8750 0.8553 0.4803 I
0.2500 0.7500 0.5000 O
0.5000 0.5000 0.0000 O

=====

NbIO2 (SCAN, PBEsol geometry); energy relative to the elements, uncorrected = -2.06 eV per atom; energy = -90.6 eV/f.u.; V = 309.8 Å³/cell
1.0
20.8730 0.0000 0.0000
0.0000 3.7790 0.0000
0.0000 0.0000 3.9272
Nb I O
4 4 8
direct
0.0673 0.2500 0.0404 Nb
0.4327 0.7500 0.5404 Nb
0.5673 0.2500 0.4596 Nb
0.9327 0.7500 0.9596 Nb
0.1755 0.7500 0.9949 I
0.3245 0.2500 0.4949 I
0.6755 0.7500 0.5051 I
0.8245 0.2500 0.0051 I
0.0322 0.7500 0.9922 O
0.0749 0.2500 0.5047 O
0.4251 0.7500 0.0047 O
0.4678 0.2500 0.4922 O
0.5322 0.7500 0.5078 O
0.5749 0.2500 0.9953 O
0.9251 0.7500 0.4953 O
0.9678 0.2500 0.0078 O